1.
This record from Alexandria describes crystalline ScTc2Os at its relaxed geometry. The functional is PBE-GGA.

The structure in extended XYZ format:
```
4
Lattice="0.000 3.140 3.140 3.140 0.000 3.140 3.140 3.140 0.000" Properties=species:S:1:pos:R:3 pbc="T T T"
Sc 0.000 0.000 0.000
Tc 1.570 1.570 1.570
Tc 3.140 3.140 3.140
Os 4.710 4.710 4.710
```

Calculated values
VASP energy: -38.5 eV/cell
Calculated formation energy: -0.05 eV per atom

2.
This record from Alexandria describes crystalline DyPu2C at its relaxed geometry. The functional is PBE-GGA.

The structure in extended XYZ format:
```
4
Lattice="3.162 0.000 0.000 0.000 3.162 0.000 0.000 0.000 8.654" Properties=species:S:1:pos:R:3 pbc="T T T"
Dy 0.000 0.000 0.000
Pu 1.581 1.581 2.968
Pu 1.581 1.581 5.686
C 0.000 0.000 4.327
```

Calculated values
VASP energy: -41.6 eV/cell
Calculated formation energy: 0.23 eV per atom

3.
This record from Alexandria describes crystalline CdTc2Ir at its relaxed geometry. The functional is PBE-GGA.

The structure in extended XYZ format:
```
4
Lattice="1.402 0.809 9.248 -1.402 0.809 9.248 0.000 -1.619 9.248" Properties=species:S:1:pos:R:3 pbc="T T T"
Cd 0.000 0.000 0.000
Tc 0.000 0.000 6.736
Tc 0.000 0.000 13.891
Ir 0.000 0.000 20.965
```

Calculated values
VASP energy: -30.1 eV/cell
Calculated formation energy: 0.11 eV per atom

4.
This record from Alexandria describes crystalline LiReAs2 at its relaxed geometry. The functional is PBE-GGA.

The structure in extended XYZ format:
```
4
Lattice="3.071 0.000 0.000 0.000 3.068 0.000 -0.732 0.000 7.016" Properties=species:S:1:pos:R:3 pbc="T T T"
Li 0.000 0.000 0.000
Re -0.366 0.000 3.508
As 1.181 1.534 1.980
As 1.158 1.534 5.037
```

Calculated values
VASP energy: -24.4 eV/cell
Calculated formation energy: -0.19 eV per atom